DFT (PBE-GGA) results for a geometry-optimized InHg6Pb2 structure.

```
InHg6Pb2
1.0
4.532 -4.819 0.000
4.532 4.819 0.000
-0.937 0.000 5.916
In Hg Pb
1 6 2
direct
0.000 0.000 0.000
0.160 0.653 0.713
0.191 0.191 0.641
0.347 0.840 0.287
0.653 0.160 0.713
0.809 0.809 0.359
0.840 0.347 0.287
0.364 0.364 0.209
0.636 0.636 0.791
```

## Properties
E_tot: -1.28 eV per atom
ΔE_f: 0.052 eV/atom
Relative energy among the computed polymorphs: 0.013 eV/atom


DFT (PBE-GGA) results for a geometry-optimized Tb2Be2GaRh5 structure.

```
Tb2Be2GaRh5
1.0
9.640 0.000 0.000
0.000 9.640 0.000
0.000 0.000 3.229
Tb Be Ga Rh
4 4 2 10
direct
0.176 0.324 0.000
0.324 0.824 0.000
0.676 0.176 0.000
0.824 0.676 0.000
0.122 0.622 0.000
0.378 0.122 0.000
0.622 0.878 0.000
0.878 0.378 0.000
0.000 0.000 0.000
0.500 0.500 0.000
0.000 0.500 0.500
0.067 0.789 0.500
0.211 0.067 0.500
0.289 0.567 0.500
0.433 0.289 0.500
0.500 0.000 0.500
0.567 0.711 0.500
0.711 0.433 0.500
0.789 0.933 0.500
0.933 0.211 0.500
```

## Properties
E_tot: -6.45 eV per atom
ΔE_f: -0.800 eV/atom


DFT (PBE-GGA) results for a geometry-optimized Na3TbNd2S6 structure.

```
Na3TbNd2S6
1.0
3.542 -6.135 0.000
3.542 6.135 0.000
-2.363 0.000 6.696
Na Tb Nd S
3 1 2 6
direct
0.000 0.000 0.000
0.333 0.667 0.000
0.667 0.333 0.000
0.500 0.500 0.500
0.167 0.833 0.500
0.833 0.167 0.500
0.097 0.423 0.268
0.251 0.251 0.731
0.423 0.097 0.268
0.577 0.903 0.732
0.749 0.749 0.269
0.903 0.577 0.732
```

## Properties
E_form (uncorrected): -1.81 eV/atom
E_tot: -5.38 eV per atom


DFT (PBE-GGA) results for a geometry-optimized BaTl3Cd structure.

```
BaTl3Cd
1.0
6.617 0.000 0.000
0.000 6.617 0.000
0.000 0.000 6.617
Ba Tl Cd
1 3 1
direct
0.000 0.000 0.000
0.000 0.000 0.500
0.000 0.500 0.000
0.500 0.000 0.000
0.500 0.500 0.500
```

## Properties
E_tot: -1.34 eV per atom
ΔE_f: 0.644 eV/atom


DFT (PBE-GGA) results for a geometry-optimized LiAcPuRu structure.

```
LiAcPuRu
1.0
0.000 3.619 3.619
3.619 0.000 3.619
3.619 3.619 0.000
Li Ac Pu Ru
1 1 1 1
direct
0.000 0.000 0.000
0.750 0.750 0.750
0.250 0.250 0.250
0.500 0.500 0.500
```

## Properties
E_tot: -7.32 eV per atom
ΔE_f: 0.088 eV/atom


DFT (PBE-GGA) results for a geometry-optimized PmSm4Er3S8 structure.

```
PmSm4Er3S8
1.0
3.949 2.280 6.503
-3.949 2.280 6.503
0.000 -4.560 6.503
Pm Sm Er S
1 4 3 8
direct
0.000 0.000 0.000
0.000 0.000 0.500
0.000 0.500 0.000
0.500 0.000 0.000
0.500 0.500 0.500
0.000 0.500 0.500
0.500 0.000 0.500
0.500 0.500 0.000
0.251 0.251 0.739
0.251 0.739 0.251
0.255 0.255 0.255
0.261 0.749 0.749
0.739 0.251 0.251
0.745 0.745 0.745
0.749 0.261 0.749
0.749 0.749 0.261
```

## Properties
E_form (uncorrected): -1.99 eV/atom
E_tot: -6.39 eV per atom


- Among the records above, which one has the lowest E_tot?
  LiAcPuRu


What did the first record say?
DFT (PBE-GGA) results for a geometry-optimized InHg6Pb2 structure.

```
InHg6Pb2
1.0
4.532 -4.819 0.000
4.532 4.819 0.000
-0.937 0.000 5.916
In Hg Pb
1 6 2
direct
0.000 0.000 0.000
0.160 0.653 0.713
0.191 0.191 0.641
0.347 0.840 0.287
0.653 0.160 0.713
0.809 0.809 0.359
0.840 0.347 0.287
0.364 0.364 0.209
0.636 0.636 0.791
```

## Properties
E_tot: -1.28 eV per atom
ΔE_f: 0.052 eV/atom
Relative energy among the computed polymorphs: 0.013 eV/atom


- Look up the E_tot of the fourth one.
  -1.34 eV per atom